NaHgPbF6 | PBE | relaxed

The space group is P-31c (No. 163) and the conventional cell measures 6.1280, 6.1280 and 9.3076 Å, with angles of 90.00, 90.00 and 120.00 degrees. The asymmetric unit holds Na at (0.0000, 0.0000, 0.0000), Hg at (0.3333, 0.6667, 0.2500), Pb at (0.3333, 0.6667, 0.7500) and F at (0.0109, 0.3472, 0.6280).

The electronic total energy is -3.81 eV/atom. Its magnetization is 0.05 μB per atom. The raw formation energy is -1974 meV per atom. For the density, the calculation gives 6.0 g cm⁻³.

MgCrHg2 | PBE | relaxed

The space group is C2/m (No. 12) and the conventional cell measures 9.3276, 3.3076 and 5.5117 Å, with angles of 90.00, 101.77 and 90.00 degrees. The asymmetric unit holds Mg at (0.0000, 0.0000, 0.0000), Cr at (0.0000, 0.5000, 0.5000) and Hg at (0.2463, 0.0000, 0.7427).

The electronic total energy is -2.75 eV/atom. The formation energy comes out at 0.806 eV per formula unit. Its magnetization is 1.02 μB per atom. For the density, the calculation gives 9.5 g cm⁻³.

Be3CoAu2 | PBE | relaxed

The space group is P4/mmm (No. 123) and the conventional cell measures 2.7817, 2.7817 and 9.0177 Å, with angles of 90.00, 90.00 and 90.00 degrees. The asymmetric unit holds Be at (0.0000, 0.0000, 0.0000), Be at (0.0000, 0.0000, 0.3753), Co at (0.5000, 0.5000, 0.5000) and Au at (0.5000, 0.5000, 0.1851).

The electronic total energy is -4.31 eV/atom. The formation energy comes out at -1.029 eV per formula unit. Its magnetization is 0.00 μB per atom. For the density, the calculation gives 11.4 g cm⁻³.

AcY2Al | PBE | relaxed

The space group is Fm-3m (No. 225) and the conventional cell measures 7.8249, 7.8249 and 7.8249 Å, with angles of 90.00, 90.00 and 90.00 degrees. The asymmetric unit holds Ac at (0.0000, 0.0000, 0.0000), Y at (0.2500, 0.2500, 0.2500) and Al at (0.0000, 0.0000, 0.5000).

The electronic total energy is -5.12 eV/atom. The formation energy comes out at 0.291 eV per formula unit. Its magnetization is 0.17 μB per atom. Its offset from the most stable computed form is 94.7 kJ/mol of formula units. For the density, the calculation gives 6.0 g cm⁻³.

MgPN2F | PBE | relaxed

The space group is P4/mmm (No. 123) and the conventional cell measures 3.5044, 3.5044 and 3.9619 Å, with angles of 90.00, 90.00 and 90.00 degrees. The asymmetric unit holds Mg at (0.0000, 0.0000, 0.0000), P at (0.5000, 0.5000, 0.5000), N at (0.0000, 0.5000, 0.5000) and F at (0.5000, 0.5000, 0.0000).

The electronic total energy is -5.37 eV/atom. Its magnetization is 0.00 μB per atom. Its offset from the most stable computed form is 0.0 kJ/mol of formula units. The raw formation energy is -266 meV per atom. For the density, the calculation gives 3.5 g cm⁻³.

Er2PuPt | PBE | relaxed

The space group is R-3m (No. 166, hexagonal axes) and the conventional cell measures 3.7261, 3.7261 and 28.0262 Å, with angles of 90.00, 90.00 and 120.00 degrees. The asymmetric unit holds Er at (0.0000, 0.0000, 0.2302), Pu at (0.0000, 0.0000, 0.0000) and Pt at (0.0000, 0.0000, 0.5000).

The electronic total energy is -7.78 eV/atom. The formation energy comes out at -1.603 eV per formula unit. Its magnetization is 1.79 μB per atom. Its offset from the most stable computed form is 57.6 kJ/mol of formula units. For the density, the calculation gives 11.4 g cm⁻³.

Sm5Sc2Tl4 | PBE | relaxed

The space group is Immm (No. 71) and the conventional cell measures 3.5512, 10.5143 and 18.5062 Å, with angles of 90.00, 90.00 and 90.00 degrees. The asymmetric unit holds Sm at (0.0000, 0.0000, 0.0000), Sm at (0.0000, 0.1707, 0.3128), Sc at (0.0000, 0.5000, 0.3232), Tl at (0.0000, 0.2410, 0.5000) and Tl at (0.0000, 0.5000, 0.0791).

The electronic total energy is -4.07 eV/atom. The formation energy comes out at 0.988 eV per formula unit. Its magnetization is 0.00 μB per atom. For the density, the calculation gives 8.0 g cm⁻³.

NaSr2Au3 | PBE | relaxed

The space group is Pnma (No. 62) and the conventional cell measures 8.0709, 4.3481 and 18.4504 Å, with angles of 90.00, 90.00 and 90.00 degrees. The asymmetric unit holds Na at (0.0141, 0.2500, 0.0643), Sr at (0.0690, 0.7500, 0.2212), Sr at (0.1440, 0.7500, 0.4326), Au at (0.1172, 0.7500, 0.6582), Au at (0.2280, 0.7500, 0.8132) and Au at (0.2402, 0.2500, 0.5593).

The electronic total energy is -3.03 eV/atom. The formation energy comes out at -3.671 eV per formula unit. Its magnetization is 0.00 μB per atom. For the density, the calculation gives 8.1 g cm⁻³.

Q: What is the electronic total energy in the first record?
A: -3.81 eV/atom